Here is crystalline Cs2KLaCl6 at its relaxed geometry from Alexandria. Energies are from PBEsol.

Structure (CIF):
```
data_Cs2KLaCl6
_chemical_formula_sum 'Cs8 K4 La4 Cl24'
_cell_length_a 11.363
_cell_length_b 11.363
_cell_length_c 11.363
_cell_angle_alpha 90.00
_cell_angle_beta 90.00
_cell_angle_gamma 90.00
_symmetry_space_group_name_H-M 'F m -3 m'
_symmetry_Int_Tables_number 225
_symmetry_space_group_name_Hall '-F 4 2 3'
loop_
_atom_site_label
_atom_site_type_symbol
_atom_site_fract_x
_atom_site_fract_y
_atom_site_fract_z
Cs1 Cs 0.250 0.250 0.250
K1 K 0.000 0.000 0.000
La1 La 0.000 0.000 0.500
Cl1 Cl 0.000 0.000 0.259
```

Results
Total DFT energy (no corrections): -4.1771 eV/atom
Uncorrected formation energy: -206 kJ/mol of atoms